First-principles (PBE) data for an optimized crystal structure of Li15Mg2Al2, as listed in the Alexandria database.

Cell and atoms, written as POSCAR:
```
Li15Mg2Al2
1.0
4.6280 2.6720 4.7791
-4.6280 2.6720 4.7791
0.0000 -5.3440 4.7791
Li Mg Al
15 2 2
Direct
0.0000 0.0000 0.5000 Li
0.0000 0.2785 0.7215 Li
0.0000 0.5000 0.0000 Li
0.0000 0.7215 0.2785 Li
0.1334 0.6307 0.6307 Li
0.2785 0.0000 0.7215 Li
0.2785 0.7215 0.0000 Li
0.3693 0.3693 0.8666 Li
0.3693 0.8666 0.3693 Li
0.5000 0.0000 0.0000 Li
0.6307 0.1334 0.6307 Li
0.6307 0.6307 0.1334 Li
0.7215 0.0000 0.2785 Li
0.7215 0.2785 0.0000 Li
0.8666 0.3693 0.3693 Li
0.3256 0.3256 0.3256 Mg
0.6744 0.6744 0.6744 Mg
0.1011 0.1011 0.1011 Al
0.8989 0.8989 0.8989 Al
```

Calculated values
Space-group type: R-3m (166)
Calculated volume: 354.6 Å³ per cell
Total magnetic moment: 0.0 Bohr magnetons per cell
Final energy: -2.054 eV per atom